i) Computed, not measured: an optimized crystal structure of NaSm6Se8 at the PBE-GGA level of DFT.

## Properties
Symmetry: Fm-3m (225)
Total magnetization, Bohr magnetons per cell: 0.000

POSCAR file:
```
NaSm6Se8
1.0
-3.340 0.478 7.599
4.921 0.628 6.672
0.347 7.136 4.252
Na Sm Se
1 6 8
Direct
0.000 0.000 0.000
0.000 0.500 0.500
0.500 0.000 0.000
0.500 0.500 0.000
0.000 0.000 0.500
0.000 0.500 0.000
0.500 0.000 0.500
0.750 0.750 0.750
0.250 0.250 0.250
0.747 0.253 0.253
0.253 0.747 0.747
0.253 0.253 0.747
0.747 0.747 0.253
0.747 0.253 0.747
0.253 0.747 0.253
```

ii) Computed, not measured: an optimized crystal structure of NaSm6Se8 at the PBE-GGA level of DFT.

## Properties
Symmetry: P-3 (147)
Total magnetization, Bohr magnetons per cell: 0.854

POSCAR file:
```
NaSm6Se8
1.0
-3.586 1.092 -1.964
-3.968 -10.601 1.353
-1.974 7.888 7.990
Na Sm Se
1 6 8
Direct
0.500 0.000 0.000
0.751 0.521 0.660
0.751 0.340 0.861
0.751 0.139 0.479
0.249 0.479 0.340
0.249 0.660 0.139
0.249 0.861 0.521
0.749 0.635 0.953
0.749 0.047 0.682
0.749 0.318 0.365
0.251 0.365 0.047
0.251 0.953 0.318
0.251 0.682 0.635
0.749 0.667 0.333
0.251 0.333 0.667
```

Result of the stability comparison: ii) is the least stable of them.